# 1
Pm3DyBi2 GGA-PBE relaxed; ΔH_f (0 K) = -0.40 eV per atom; E = -0.1778 Ha/atom; energy relative to the lowest polymorph listed for this composition = 243 meV per atom; space group = Ibam, No. 72; ρ = 7.9 g cm⁻³; DOS at the Fermi energy = 14.91 states/eV/cell; V = 35.53 Å³/atom; total magnetic moment = 0.104 μB/atom
1.0
-3.569 7.458 4.005
3.569 -7.458 4.005
3.569 7.458 -4.005
Pm Dy Bi
6 2 4
Direct
0.049 0.750 0.299
0.250 0.250 0.000
0.451 0.750 0.701
0.549 0.250 0.299
0.750 0.750 0.000
0.951 0.250 0.701
0.000 0.500 0.500
0.500 0.000 0.500
0.148 0.165 0.312
0.352 0.665 0.017
0.648 0.335 0.983
0.852 0.835 0.688

# 2
Ba3Na2O3F2 GGA-PBE relaxed; formation energy without anion corrections = -240.43 kJ/mol of atoms; E = -0.1909 Ha/atom; space group = I4/mmm, No. 139; ρ = 4.8 g cm⁻³; DOS at the Fermi energy = 0.00 states/eV/cell; V = 18.92 Å³/atom; total magnetic moment = 0.011 μB/atom
1.0
-2.032 2.032 11.458
2.032 -2.032 11.458
2.032 2.032 -11.458
Ba Na O F
3 2 3 2
Direct
0.000 0.000 0.000
0.381 0.381 0.000
0.619 0.619 0.000
0.215 0.215 0.000
0.785 0.785 0.000
0.115 0.115 0.000
0.500 0.500 0.000
0.885 0.885 0.000
0.250 0.750 0.500
0.750 0.250 0.500

# 3
Mg5AlNi6 GGA-PBE relaxed; ΔH_f (0 K) = -0.24 eV per atom; E = -0.1510 Ha/atom; space group = Immm, No. 71; ρ = 5.0 g cm⁻³; DOS at the Fermi energy = 9.27 states/eV/cell; V = 13.75 Å³/atom; total magnetic moment = 0.000 μB/atom
1.0
-2.119 3.050 6.384
2.119 -3.050 6.384
2.119 3.050 -6.384
Mg Al Ni
5 1 6
Direct
0.000 0.000 0.000
0.164 0.664 0.500
0.327 0.327 0.000
0.673 0.673 0.000
0.836 0.336 0.500
0.500 0.000 0.500
0.102 0.840 0.262
0.273 0.500 0.773
0.422 0.160 0.262
0.578 0.840 0.738
0.727 0.500 0.227
0.898 0.160 0.738

# 4
AcPm6Sm12 GGA-PBE relaxed; ΔH_f (0 K) = 0.14 eV per atom; E = -0.1674 Ha/atom; energy relative to the lowest polymorph listed for this composition = 0 meV per atom; space group = R-3, No. 148; ρ = 7.2 g cm⁻³; DOS at the Fermi energy = 30.01 states/eV/cell; V = 35.13 Å³/atom; total magnetic moment = 0.000 μB/atom
1.0
6.124 3.536 5.137
-6.124 3.536 5.137
0.000 -7.071 5.137
Ac Pm Sm
1 6 12
Direct
0.000 0.000 0.000
0.094 0.262 0.690
0.262 0.690 0.094
0.310 0.906 0.738
0.690 0.094 0.262
0.738 0.310 0.906
0.906 0.738 0.310
0.015 0.360 0.203
0.203 0.015 0.360
0.225 0.567 0.460
0.360 0.203 0.015
0.433 0.540 0.775
0.460 0.225 0.567
0.540 0.775 0.433
0.567 0.460 0.225
0.640 0.797 0.985
0.775 0.433 0.540
0.797 0.985 0.640
0.985 0.640 0.797

# 5
BeCd2W GGA-PBE relaxed; ΔH_f (0 K) = 1.01 eV per atom; E = -0.1328 Ha/atom; space group = I-42d, No. 122; ρ = 9.7 g cm⁻³; DOS at the Fermi energy = 5.50 states/eV/cell; V = 17.80 Å³/atom; total magnetic moment = 0.026 μB/atom
1.0
-1.893 1.893 9.928
1.893 -1.893 9.928
1.893 1.893 -9.928
Be Cd W
2 4 2
Direct
0.000 0.000 0.000
0.750 0.250 0.500
0.121 0.625 0.996
0.375 0.371 0.496
0.629 0.125 0.004
0.875 0.879 0.504
0.250 0.750 0.500
0.500 0.500 0.000

# 6
CsBSe2Br GGA-PBE relaxed; formation energy without anion corrections = 4.90 kJ/mol of atoms; E = -0.1170 Ha/atom; energy relative to the lowest polymorph listed for this composition = 0 meV per atom; space group = P4/mmm, No. 123; ρ = 4.2 g cm⁻³; DOS at the Fermi energy = 5.59 states/eV/cell; V = 30.25 Å³/atom; total magnetic moment = 0.000 μB/atom
1.0
4.555 0.000 0.000
0.000 4.555 0.000
0.000 0.000 7.290
Cs B Se Br
1 1 2 1
Direct
0.000 0.000 0.000
0.500 0.500 0.500
0.000 0.500 0.500
0.500 0.000 0.500
0.500 0.500 0.000

# 7
GeBiPd GGA-PBE relaxed; ΔH_f (0 K) = -0.14 eV per atom; E = -0.1730 Ha/atom; energy relative to the lowest polymorph listed for this composition = 74 meV per atom; space group = P2_1/m, No. 11; ρ = 9.4 g cm⁻³; DOS at the Fermi energy = 1.26 states/eV/cell; V = 22.81 Å³/atom; total magnetic moment = 0.000 μB/atom
1.0
3.313 0.000 0.000
0.000 4.502 0.000
-0.040 0.000 9.178
Ge Bi Pd
2 2 2
Direct
0.001 0.250 0.127
0.999 0.750 0.873
0.003 0.750 0.374
0.997 0.250 0.626
0.499 0.250 0.902
0.501 0.750 0.098

# 8
SbTeWI2 GGA-PBE relaxed; formation energy without anion corrections = 76.96 kJ/mol of atoms; E = -0.1421 Ha/atom; energy relative to the lowest polymorph listed for this composition = 76 meV per atom; space group = P4/mmm, No. 123; ρ = 7.3 g cm⁻³; DOS at the Fermi energy = 7.23 states/eV/cell; V = 31.09 Å³/atom; total magnetic moment = 0.007 μB/atom
1.0
5.395 0.000 0.000
0.000 5.395 0.000
0.000 0.000 5.342
Sb Te W I
1 1 1 2
Direct
0.000 0.000 0.000
0.500 0.500 0.000
0.500 0.500 0.500
0.000 0.500 0.500
0.500 0.000 0.500

# 9
AcSm8Dy4 GGA-PBE relaxed; ΔH_f (0 K) = 0.03 eV per atom; E = -0.1693 Ha/atom; space group = C2/m, No. 12; ρ = 7.9 g cm⁻³; DOS at the Fermi energy = 18.68 states/eV/cell; V = 33.81 Å³/atom; total magnetic moment = 0.000 μB/atom
1.0
5.735 -2.569 0.000
5.735 2.569 0.000
-1.154 0.000 14.916
Ac Sm Dy
1 8 4
Direct
0.000 0.000 0.000
0.075 0.075 0.764
0.231 0.231 0.311
0.308 0.308 0.081
0.460 0.460 0.613
0.540 0.540 0.387
0.692 0.692 0.919
0.769 0.769 0.689
0.925 0.925 0.236
0.153 0.153 0.538
0.381 0.381 0.841
0.619 0.619 0.159
0.847 0.847 0.462

# 10
Ba2In4AgAu3 GGA-PBE relaxed; ΔH_f (0 K) = -0.49 eV per atom; E = -0.1190 Ha/atom; space group = P-4m2, No. 115; ρ = 8.7 g cm⁻³; DOS at the Fermi energy = 5.59 states/eV/cell; V = 27.25 Å³/atom; total magnetic moment = 0.000 μB/atom
1.0
4.913 0.000 0.000
0.000 4.913 0.000
0.000 0.000 11.288
Ba In Ag Au
2 4 1 3
Direct
0.000 0.500 0.247
0.500 0.000 0.753
0.000 0.000 0.500
0.000 0.500 0.878
0.500 0.000 0.122
0.500 0.500 0.500
0.500 0.500 0.000
0.000 0.000 0.000
0.000 0.500 0.632
0.500 0.000 0.368

# 11
LaPr10Ho4 GGA-PBE relaxed; ΔH_f (0 K) = 0.49 eV per atom; E = -0.1559 Ha/atom; space group = I4/m, No. 87; ρ = 6.4 g cm⁻³; DOS at the Fermi energy = 27.20 states/eV/cell; V = 38.33 Å³/atom; total magnetic moment = 0.002 μB/atom
1.0
-6.418 6.418 3.490
6.418 -6.418 3.490
6.418 6.418 -3.490
La Pr Ho
1 10 4
Direct
0.000 0.000 0.000
0.043 0.628 0.160
0.117 0.957 0.585
0.250 0.750 0.500
0.372 0.532 0.415
0.468 0.883 0.840
0.532 0.117 0.160
0.628 0.468 0.585
0.750 0.250 0.500
0.883 0.043 0.415
0.957 0.372 0.840
0.323 0.433 0.756
0.433 0.677 0.109
0.567 0.323 0.891
0.677 0.567 0.244

# 12
Mg3CdSi GGA-PBE relaxed; formation energy without anion corrections = 61.11 kJ/mol of atoms; E = -0.0585 Ha/atom; energy relative to the lowest polymorph listed for this composition = 452 meV per atom; space group = Pm-3m, No. 221; ρ = 2.6 g cm⁻³; DOS at the Fermi energy = 2.71 states/eV/cell; V = 27.21 Å³/atom; total magnetic moment = 0.000 μB/atom
1.0
5.144 0.000 0.000
0.000 5.144 0.000
0.000 0.000 5.144
Mg Cd Si
3 1 1
Direct
0.000 0.000 0.500
0.000 0.500 0.000
0.500 0.000 0.000
0.000 0.000 0.000
0.500 0.500 0.500

# 13
YThTeSe2 GGA-PBE relaxed; formation energy without anion corrections = -125.34 kJ/mol of atoms; E = -0.2241 Ha/atom; space group = I4mm, No. 107; ρ = 6.6 g cm⁻³; DOS at the Fermi energy = 1.07 states/eV/cell; V = 30.49 Å³/atom; total magnetic moment = 0.200 μB/atom
1.0
-2.348 2.348 6.911
2.348 -2.348 6.911
2.348 2.348 -6.911
Y Th Te Se
1 1 1 2
Direct
0.000 0.000 0.000
0.265 0.265 0.000
0.647 0.647 0.000
0.389 0.889 0.500
0.889 0.389 0.500

# 14
NaIn2Pd GGA-PBE relaxed; ΔH_f (0 K) = -0.30 eV per atom; E = -0.1213 Ha/atom; space group = P4/mmm, No. 123; ρ = 6.6 g cm⁻³; DOS at the Fermi energy = 1.42 states/eV/cell; V = 22.44 Å³/atom; total magnetic moment = 0.000 μB/atom
1.0
3.354 0.000 0.000
0.000 3.354 0.000
0.000 0.000 7.978
Na In Pd
1 2 1
Direct
0.000 0.000 0.000
0.500 0.500 0.297
0.500 0.500 0.703
0.000 0.000 0.500

# 15
Cs2SrBi2 GGA-PBE relaxed; ΔH_f (0 K) = -0.25 eV per atom; E = -0.0913 Ha/atom; energy relative to the lowest polymorph listed for this composition = 171 meV per atom; space group = I4/mmm, No. 139; ρ = 5.6 g cm⁻³; DOS at the Fermi energy = 2.62 states/eV/cell; V = 45.65 Å³/atom; total magnetic moment = 0.000 μB/atom
1.0
-2.568 2.568 8.655
2.568 -2.568 8.655
2.568 2.568 -8.655
Cs Sr Bi
2 1 2
Direct
0.250 0.750 0.500
0.750 0.250 0.500
0.000 0.000 0.000
0.413 0.413 0.000
0.587 0.587 0.000

# 16
PmCu4Sb GGA-PBE relaxed; formation energy without anion corrections = -14.27 kJ/mol of atoms; E = -0.1601 Ha/atom; space group = F-43m, No. 216; ρ = 8.4 g cm⁻³; DOS at the Fermi energy = 4.16 states/eV/cell; V = 17.15 Å³/atom; total magnetic moment = 0.000 μB/atom
1.0
0.000 3.719 3.719
3.719 0.000 3.719
3.719 3.719 0.000
Pm Cu Sb
1 4 1
Direct
0.000 0.000 0.000
0.375 0.375 0.375
0.375 0.375 0.874
0.375 0.874 0.375
0.874 0.375 0.375
0.750 0.750 0.750

# 17
MgW2Cl GGA-PBE relaxed; formation energy without anion corrections = 45.22 kJ/mol of atoms; E = -0.2524 Ha/atom; energy relative to the lowest polymorph listed for this composition = 324 meV per atom; space group = C2/m, No. 12; ρ = 9.7 g cm⁻³; DOS at the Fermi energy = 1.60 states/eV/cell; V = 18.25 Å³/atom; total magnetic moment = 0.000 μB/atom
1.0
5.731 -1.598 0.000
5.731 1.598 0.000
-0.587 0.000 3.984
Mg W Cl
1 2 1
Direct
0.000 0.000 0.000
0.284 0.284 0.237
0.716 0.716 0.763
0.500 0.500 0.500

# 18
Tb2SmHo2Mg2 GGA-PBE relaxed; ΔH_f (0 K) = -0.03 eV per atom; E = -0.1393 Ha/atom; space group = R-3m, No. 166; ρ = 6.8 g cm⁻³; DOS at the Fermi energy = 7.05 states/eV/cell; V = 29.52 Å³/atom; total magnetic moment = 0.000 μB/atom
1.0
2.729 1.575 8.013
-2.729 1.575 8.013
0.000 -3.151 8.013
Tb Sm Ho Mg
2 1 2 2
Direct
0.156 0.156 0.156
0.844 0.844 0.844
0.000 0.000 0.000
0.428 0.428 0.428
0.572 0.572 0.572
0.290 0.290 0.290
0.710 0.710 0.710

# 19
BaLi3As GGA-PBE relaxed; ΔH_f (0 K) = -0.36 eV per atom; E = -0.1039 Ha/atom; energy relative to the lowest polymorph listed for this composition = 0 meV per atom; space group = Pm-3m, No. 221; ρ = 3.1 g cm⁻³; DOS at the Fermi energy = 2.37 states/eV/cell; V = 24.74 Å³/atom; total magnetic moment = 0.000 μB/atom
1.0
4.983 0.000 0.000
0.000 4.983 0.000
0.000 0.000 4.983
Ba Li As
1 3 1
Direct
0.000 0.000 0.000
0.000 0.500 0.500
0.500 0.000 0.500
0.500 0.500 0.000
0.500 0.500 0.500

# 20
LaEr2F GGA-PBE relaxed; formation energy without anion corrections = -86.12 kJ/mol of atoms; E = -0.1791 Ha/atom; space group = R-3m, No. 166; ρ = 7.7 g cm⁻³; DOS at the Fermi energy = 5.05 states/eV/cell; V = 26.48 Å³/atom; total magnetic moment = 0.000 μB/atom
1.0
1.798 1.038 9.457
-1.798 1.038 9.457
0.000 -2.076 9.457
La Er F
1 2 1
Direct
0.000 0.000 0.000
0.119 0.119 0.119
0.881 0.881 0.881
0.500 0.500 0.500